Record 1
The following is a DFT calculation (PBE) of crystalline AcReHg2O6 at its relaxed geometry.

Output
symmetry = R3 (146)
spin magnetization = 0.00 μB/atom
D(E_F) = 0.453 states/eV/cell
calculated density = 9.4 g/cm3
uncorrected energy = -6.21 eV/atom

Structure (POSCAR):
```
AcReHg2O6
1.0
2.925 1.688 5.452
-2.925 1.688 5.452
0.000 -3.377 5.452
Ac Re Hg O
1 1 2 6
direct
0.000 0.000 0.000 Ac
0.503 0.503 0.503 Re
0.233 0.233 0.233 Hg
0.742 0.742 0.742 Hg
0.241 0.343 0.742 O
0.299 0.834 0.607 O
0.343 0.742 0.241 O
0.607 0.299 0.834 O
0.742 0.241 0.343 O
0.834 0.607 0.299 O
```

=====

Record 2
The following is a DFT calculation (PBE) of crystalline Ac2HgRh3O8 at its relaxed geometry.

Output
symmetry = R3m (160)
spin magnetization = 0.00 μB/atom
D(E_F) = 6.641 states/eV/cell
calculated density = 8.4 g/cm3
uncorrected energy = -6.45 eV/atom

Structure (POSCAR):
```
Ac2HgRh3O8
1.0
3.319 1.916 5.678
-3.319 1.916 5.678
0.000 -3.832 5.678
Ac Hg Rh O
2 1 3 8
direct
0.000 0.000 0.000 Ac
0.387 0.387 0.387 Ac
0.632 0.632 0.632 Hg
0.003 0.003 0.506 Rh
0.003 0.506 0.003 Rh
0.506 0.003 0.003 Rh
0.189 0.749 0.749 O
0.233 0.233 0.233 O
0.257 0.257 0.812 O
0.257 0.812 0.257 O
0.749 0.189 0.749 O
0.749 0.749 0.189 O
0.781 0.781 0.781 O
0.812 0.257 0.257 O
```

=====

Record 3
The following is a DFT calculation (PBE) of crystalline AcHgRu2O7 at its relaxed geometry.

Output
symmetry = I-4m2 (119)
spin magnetization = 0.43 μB/atom
D(E_F) = 3.230 states/eV/cell
calculated density = 7.6 g/cm3
uncorrected energy = -6.55 eV/atom

Structure (POSCAR):
```
AcHgRu2O7
1.0
-1.975 1.975 10.320
1.975 -1.975 10.320
1.975 1.975 -10.320
Ac Hg Ru O
1 1 2 7
direct
0.000 0.000 0.000 Ac
0.750 0.250 0.500 Hg
0.397 0.397 0.000 Ru
0.603 0.603 0.000 Ru
0.087 0.587 0.500 O
0.306 0.306 0.000 O
0.413 0.913 0.500 O
0.500 0.500 0.000 O
0.591 0.091 0.500 O
0.694 0.694 0.000 O
0.909 0.409 0.500 O
```

=====

Record 4
The following is a DFT calculation (PBE) of crystalline Ac2HgRuO6 at its relaxed geometry.

Output
symmetry = R-3 (148)
spin magnetization = 0.20 μB/atom
D(E_F) = 4.640 states/eV/cell
calculated density = 9.3 g/cm3
uncorrected energy = -6.74 eV/atom

Structure (POSCAR):
```
Ac2HgRuO6
1.0
3.088 1.783 4.619
-3.088 1.783 4.619
0.000 -3.565 4.619
Ac Hg Ru O
2 1 1 6
direct
0.239 0.239 0.239 Ac
0.761 0.761 0.761 Ac
0.500 0.500 0.500 Hg
0.000 0.000 0.000 Ru
0.124 0.330 0.800 O
0.200 0.876 0.670 O
0.330 0.800 0.124 O
0.670 0.200 0.876 O
0.800 0.124 0.330 O
0.876 0.670 0.200 O
```

=====

Record 5
The following is a DFT calculation (PBE) of crystalline AcHg2SO8 at its relaxed geometry.

Output
symmetry = P-3m1 (164)
spin magnetization = 0.25 μB/atom
D(E_F) = 8.565 states/eV/cell
calculated density = 8.1 g/cm3
uncorrected energy = -4.79 eV/atom

Structure (POSCAR):
```
AcHg2SO8
1.0
5.265 0.000 0.000
-2.633 4.560 0.000
0.000 0.000 6.696
Ac Hg S O
1 2 1 8
direct
0.000 0.000 0.000 Ac
0.333 0.667 0.364 Hg
0.667 0.333 0.636 Hg
0.000 0.000 0.500 S
0.148 0.295 0.647 O
0.148 0.852 0.647 O
0.295 0.148 0.353 O
0.333 0.667 0.047 O
0.667 0.333 0.953 O
0.705 0.852 0.647 O
0.852 0.148 0.353 O
0.852 0.705 0.353 O
```

=====

Record 6
The following is a DFT calculation (PBE) of crystalline Ac2HgS2O2 at its relaxed geometry.

Output
symmetry = P-3m1 (164)
spin magnetization = 0.00 μB/atom
D(E_F) = 0.000 states/eV/cell
calculated density = 6.8 g/cm3
uncorrected energy = -6.00 eV/atom

Structure (POSCAR):
```
Ac2HgS2O2
1.0
4.293 0.000 0.000
-2.146 3.718 0.000
0.000 0.000 11.512
Ac Hg S O
2 1 2 2
direct
0.333 0.667 0.137 Ac
0.667 0.333 0.863 Ac
0.000 0.000 0.500 Hg
0.000 0.000 0.298 S
0.000 0.000 0.702 S
0.333 0.667 0.921 O
0.667 0.333 0.079 O
```

=====

Record 7
The following is a DFT calculation (PBE) of crystalline Ac2HgSO6 at its relaxed geometry.

Output
symmetry = P4mm (99)
spin magnetization = 0.00 μB/atom
D(E_F) = 0.433 states/eV/cell
calculated density = 8.0 g/cm3
uncorrected energy = -6.02 eV/atom

Structure (POSCAR):
```
Ac2HgSO6
1.0
5.956 0.000 0.000
0.000 5.956 0.000
0.000 0.000 4.605
Ac Hg S O
2 1 1 6
direct
0.000 0.500 0.000 Ac
0.500 0.000 0.000 Ac
0.000 0.000 0.547 Hg
0.500 0.500 0.644 S
0.000 0.000 0.080 O
0.275 0.275 0.708 O
0.275 0.725 0.708 O
0.500 0.500 0.311 O
0.725 0.275 0.708 O
0.725 0.725 0.708 O
```

=====

Record 8
The following is a DFT calculation (PBE) of crystalline AcHgS2O6 at its relaxed geometry.

Output
symmetry = C2/c (15)
spin magnetization = 0.00 μB/atom
D(E_F) = 5.762 states/eV/cell
calculated density = 5.1 g/cm3
uncorrected energy = -5.92 eV/atom

Structure (POSCAR):
```
AcHgS2O6
1.0
5.086 -4.786 0.000
5.086 4.786 0.000
-4.485 0.000 7.866
Ac Hg S O
2 2 4 12
direct
0.043 0.957 0.750 Ac
0.957 0.043 0.250 Ac
0.383 0.617 0.250 Hg
0.617 0.383 0.750 Hg
0.175 0.397 0.736 S
0.397 0.175 0.236 S
0.603 0.825 0.764 S
0.825 0.603 0.264 S
0.044 0.212 0.579 O
0.066 0.588 0.728 O
0.159 0.350 0.883 O
0.212 0.044 0.079 O
0.350 0.159 0.383 O
0.412 0.934 0.772 O
0.588 0.066 0.228 O
0.650 0.841 0.617 O
0.788 0.956 0.921 O
0.841 0.650 0.117 O
0.934 0.412 0.272 O
0.956 0.788 0.421 O
```

=====

Record 9
The following is a DFT calculation (PBE) of crystalline AcHgS2O8 at its relaxed geometry.

Output
symmetry = C2/m (12)
spin magnetization = 0.09 μB/atom
D(E_F) = 1.891 states/eV/cell
calculated density = 4.5 g/cm3
uncorrected energy = -6.06 eV/atom

Structure (POSCAR):
```
AcHgS2O8
1.0
4.579 -2.939 0.000
4.579 2.939 0.000
-0.613 0.000 8.419
Ac Hg S O
1 1 2 8
direct
0.000 0.000 0.000 Ac
0.000 0.000 0.500 Hg
0.349 0.349 0.764 S
0.651 0.651 0.236 S
0.237 0.651 0.787 O
0.244 0.244 0.894 O
0.273 0.273 0.605 O
0.349 0.763 0.213 O
0.651 0.237 0.787 O
0.727 0.727 0.395 O
0.756 0.756 0.106 O
0.763 0.349 0.213 O
```

=====

Record 10
The following is a DFT calculation (PBE) of crystalline Ac2HgSbO6 at its relaxed geometry.

Output
symmetry = P2_1/c (14)
spin magnetization = 0.00 μB/atom
D(E_F) = 6.642 states/eV/cell
calculated density = 8.7 g/cm3
uncorrected energy = -6.44 eV/atom

Structure (POSCAR):
```
Ac2HgSbO6
1.0
5.951 0.000 0.000
0.000 6.428 0.000
-5.639 0.000 8.720
Ac Hg Sb O
4 2 2 12
direct
0.221 0.058 0.241 Ac
0.221 0.442 0.741 Ac
0.779 0.558 0.259 Ac
0.779 0.942 0.759 Ac
0.000 0.000 0.500 Hg
0.000 0.500 0.000 Hg
0.500 0.000 0.000 Sb
0.500 0.500 0.500 Sb
0.173 0.160 0.957 O
0.173 0.340 0.457 O
0.256 0.745 0.905 O
0.256 0.755 0.405 O
0.426 0.084 0.792 O
0.426 0.416 0.292 O
0.574 0.584 0.708 O
0.574 0.916 0.208 O
0.744 0.245 0.595 O
0.744 0.255 0.095 O
0.827 0.660 0.543 O
0.827 0.840 0.043 O
```